# 1
A plane-wave DFT calculation with PBE was carried out for CsInHg2Bi after structural relaxation.

Space-group type: No. 123
Magnetization in μB per formula unit: 0.0
V in Å³/f.u.: 211.6
Raw total energy in eV/cell: -8.4
Energy relative to the elements in kJ per mole of atoms: -6.5
Fermi-level density of states in states/eV/atom: 0.594

Geometry as extended XYZ:
```
5
Lattice="5.977 0.000 0.000 0.000 5.977 0.000 0.000 0.000 5.925" Properties=species:S:1:pos:R:3 pbc="T T T"
Cs 2.988 2.988 2.962
In 0.000 0.000 0.000
Bi 0.000 0.000 2.962
Hg 0.000 2.988 0.000
Hg 2.988 0.000 0.000
```

# 2
A plane-wave DFT calculation with PBE was carried out for Cs2In4HgBi3 after structural relaxation.

Space-group type: No. 115
Magnetization in μB per formula unit: 0.0
V in Å³/f.u.: 382.0
Raw total energy in eV/cell: -26.6
Energy relative to the elements in kJ per mole of atoms: -18.8
Fermi-level density of states in states/eV/atom: 0.449

Geometry as extended XYZ:
```
10
Lattice="5.348 0.000 0.000 0.000 5.348 0.000 0.000 0.000 13.357" Properties=species:S:1:pos:R:3 pbc="T T T"
Cs 2.674 0.000 3.361
Cs 0.000 2.674 9.996
In 2.674 2.674 0.000
In 0.000 0.000 0.000
In 2.674 0.000 8.295
In 0.000 2.674 5.061
Hg 2.674 2.674 6.678
Bi 0.000 0.000 6.678
Bi 2.674 0.000 11.665
Bi 0.000 2.674 1.692
```

# 3
A plane-wave DFT calculation with PBE was carried out for Cs2In2HgBi2 after structural relaxation.

Space-group type: No. 12
Magnetization in μB per formula unit: 0.0
V in Å³/f.u.: 301.9
Raw total energy in eV/cell: -17.0
Energy relative to the elements in kJ per mole of atoms: -24.3
Fermi-level density of states in states/eV/atom: 0.348

Geometry as extended XYZ:
```
7
Lattice="4.923 0.000 0.000 2.461 8.739 1.989 0.000 4.646 8.074" Properties=species:S:1:pos:R:3 pbc="T T T"
Cs 4.924 10.966 8.243
Cs 2.461 2.419 1.820
In 4.924 6.896 6.329
In 2.461 6.489 3.734
Hg 0.000 0.000 0.000
Bi 4.923 4.742 4.050
Bi 2.462 8.643 6.013
```

# 4
A plane-wave DFT calculation with PBE was carried out for CsInHg3Bi after structural relaxation.

Space-group type: No. 63
Magnetization in μB per formula unit: 0.0
V in Å³/f.u.: 238.2
Raw total energy in eV/cell: -18.0
Energy relative to the elements in kJ per mole of atoms: -10.0
Fermi-level density of states in states/eV/atom: 0.289

Geometry as extended XYZ:
```
12
Lattice="-2.222 -7.555 0.858 7.760 -2.572 -2.547 -1.659 1.389 7.936" Properties=species:S:1:pos:R:3 pbc="T T T"
Cs -0.393 -5.607 4.465
Cs 4.271 -3.131 1.782
In 5.492 -3.074 5.442
In -1.613 -5.664 0.805
Hg 0.301 -1.849 2.783
Hg 2.057 -0.682 -0.675
Hg 4.591 -5.668 -1.443
Hg 0.946 -4.459 -0.246
Hg 5.703 -1.890 -1.872
Hg 3.578 -6.889 3.464
Bi 1.247 -1.805 5.623
Bi 2.631 -6.933 0.624
```

Question: energy relative to the elements of number 4 (CsInHg3Bi)?
Answer: -10.0 kJ per mole of atoms